Th3BiTeOs | PBE | optimized geometry

## Properties
* theoretical density: 11.5 Mg/m³
* formation energy without anion corrections: -0.57 eV per atom

a = 8.4403 Å, b = 4.2825 Å, c = 10.5870 Å
α = 90.00°, β = 112.44°, γ = 90.00°
Fractional positions:
Th  0.0190  0.2500  0.3617
Th  0.1840  0.2500  0.9857
Th  0.4056  0.7500  0.5936
Th  0.5944  0.2500  0.4064
Th  0.8160  0.7500  0.0143
Th  0.9810  0.7500  0.6383
Bi  0.2475  0.7500  0.2381
Bi  0.7525  0.2500  0.7619
Te  0.3763  0.7500  0.8740
Te  0.6237  0.2500  0.1260
Os  0.2220  0.2500  0.6611
Os  0.7780  0.7500  0.3389